(1)
Computed, not measured: an optimized crystal structure of LiH3Pd at the GGA-PBE level of DFT.

Cell lengths 14.6376, 4.8717, 5.9535 Å; angles 90.00, 157.15, 90.00 degrees
Sites, in units of the cell vectors:
H (0.6238, 0.7525, 0.6230)
Li (0.1173, 0.2563, 0.1235)
Li (0.3827, 0.7563, 0.3765)
Li (0.6173, 0.2437, 0.6235)
Li (0.8827, 0.7437, 0.8765)
H (0.0540, 0.6685, 0.5470)
Pd (0.8707, 0.6746, 0.3696)
H (0.7979, 0.0099, 0.2946)
H (0.7021, 0.5099, 0.2054)
H (0.5540, 0.8315, 0.0470)
H (0.4460, 0.1685, 0.9530)
H (0.8762, 0.2525, 0.8770)
H (0.1238, 0.7475, 0.1230)
H (0.2021, 0.9901, 0.7054)
Pd (0.3707, 0.8254, 0.8696)
H (0.3762, 0.2475, 0.3770)
H (0.2979, 0.4901, 0.7946)
H (0.9460, 0.3315, 0.4530)
Pd (0.1293, 0.3254, 0.6304)
Pd (0.6293, 0.1746, 0.1304)

Results
E: -72.83 eV/cell

***

(2)
Computed, not measured: an optimized crystal structure of LaPaMn at the GGA-PBE level of DFT.

Cell lengths 5.2684, 4.0860, 4.0860 Å; angles 120.00, 90.00, 90.00 degrees
Sites, in units of the cell vectors:
Pa (0.1669, 0.3333, 0.6667)
La (0.6668, 0.6667, 0.3333)
Mn (0.1663, 0.0000, 0.0000)

Results
ΔE to the lowest computed polymorph: 0.000 eV per atom
DFT formation energy: 0.1 eV/f.u.

***

(3)
Computed, not measured: an optimized crystal structure of AlCrAg4 at the GGA-PBE level of DFT.

Cell lengths 5.4190, 5.4190, 5.4190 Å; angles 60.00, 60.00, 60.00 degrees
Each line ends with the local moment (μB).
Sites, in units of the cell vectors:
Cr (0.0000, 0.0000, 0.0000)  3.80
Al (0.2500, 0.2500, 0.2500)  -0.06
Ag (0.6250, 0.1249, 0.6250)  -0.02
Ag (0.6250, 0.6250, 0.1249)  -0.02
Ag (0.6250, 0.6250, 0.6250)  -0.02
Ag (0.1249, 0.6250, 0.6250)  -0.02

Results
DFT formation energy: 2.2 eV/f.u.

***

(4)
Computed, not measured: an optimized crystal structure of LiTi3Au at the GGA-PBE level of DFT.

Cell lengths 4.3609, 4.3609, 4.3609 Å; angles 90.00, 90.00, 90.00 degrees
Sites, in units of the cell vectors:
Ti (0.0000, 0.0000, 0.5000)
Li (0.0000, 0.0000, 0.0000)
Au (0.5000, 0.5000, 0.5000)
Ti (0.5000, 0.0000, 0.0000)
Ti (0.0000, 0.5000, 0.0000)

Results
ΔE to the lowest computed polymorph: 0.000 eV per atom
DFT formation energy: 3.4 eV/f.u.

***

- Which formula does entry 3 have?
  AlCrAg4

***

What did the third record say?
Computed, not measured: an optimized crystal structure of AlCrAg4 at the GGA-PBE level of DFT.

Cell lengths 5.4190, 5.4190, 5.4190 Å; angles 60.00, 60.00, 60.00 degrees
Each line ends with the local moment (μB).
Sites, in units of the cell vectors:
Cr (0.0000, 0.0000, 0.0000)  3.80
Al (0.2500, 0.2500, 0.2500)  -0.06
Ag (0.6250, 0.1249, 0.6250)  -0.02
Ag (0.6250, 0.6250, 0.1249)  -0.02
Ag (0.6250, 0.6250, 0.6250)  -0.02
Ag (0.1249, 0.6250, 0.6250)  -0.02

Results
DFT formation energy: 2.2 eV/f.u.